Record 1
# Mg2SiTe | Alexandria via LeMat-Bulk | PBE | relaxed
# Fermi-level density of states: 0.283 states/eV per atom
# Formation energy from raw total energies: -102 meV/atom
# Calculated density: 3.64 g/cm3
# Crystal system: monoclinic
# Excess energy over the best structure of this formula in the dataset: 35 meV per atom
data_Mg2SiTe
_space_group_name_H-M_alt 'C 1 m 1'
_space_group_IT_number 8
_cell_length_a 11.9568
_cell_length_b 3.9728
_cell_length_c 4.1872
_cell_angle_alpha 90.00
_cell_angle_beta 110.41
_cell_angle_gamma 90.00
loop_
_space_group_symop_operation_xyz
'x,y,z'
'x,-y,z'
'x+1/2,y+1/2,z'
'x+1/2,-y+1/2,z'
loop_
_atom_site_label
_atom_site_type_symbol
_atom_site_fract_x
_atom_site_fract_y
_atom_site_fract_z
Mg1 Mg 0.0000 0.0000 0.0000
Mg2 Mg 0.2138 0.5000 0.9938
Si1 Si 0.2136 0.0000 0.5122
Te1 Te 0.4312 0.0000 0.4486



Record 2
# MgSiTe | Alexandria via LeMat-Bulk | PBE | relaxed
# Formation energy from raw total energies: -267 meV/atom
# Calculated density: 3.68 g/cm3
# Crystal system: orthorhombic
# Excess energy over the best structure of this formula in the dataset: 0 meV per atom
data_MgSiTe
_space_group_name_H-M_alt 'A m m 2'
_space_group_IT_number 38
_cell_length_a 3.9953
_cell_length_b 12.2687
_cell_length_c 6.6253
_cell_angle_alpha 90.00
_cell_angle_beta 90.00
_cell_angle_gamma 90.00
loop_
_space_group_symop_operation_xyz
'x,y,z'
'-x,-y,z'
'-x,y,z'
'x,-y,z'
'x,y+1/2,z+1/2'
'-x,-y+1/2,z+1/2'
'-x,y+1/2,z+1/2'
'x,-y+1/2,z+1/2'
loop_
_atom_site_label
_atom_site_type_symbol
_atom_site_fract_x
_atom_site_fract_y
_atom_site_fract_z
Mg1 Mg 0.0000 0.1768 0.0000
Si1 Si 0.0000 0.0000 0.2244
Si2 Si 0.5000 0.0000 0.4169
Te1 Te 0.5000 0.1652 0.6708



Record 3
# MgSi2Te | Alexandria via LeMat-Bulk | PBE | relaxed
# Fermi-level density of states: 0.383 states/eV per atom
# Formation energy from raw total energies: 326 meV/atom
# Calculated density: 4.20 g/cm3
# Crystal system: tetragonal
# Excess energy over the best structure of this formula in the dataset: 235 meV per atom
data_MgSi2Te
_space_group_name_H-M_alt 'P 4/m m m'
_space_group_IT_number 123
_space_group_name_Hall '-P 4 2'
_cell_length_a 3.7235
_cell_length_b 3.7235
_cell_length_c 5.9287
_cell_angle_alpha 90.00
_cell_angle_beta 90.00
_cell_angle_gamma 90.00
loop_
_atom_site_label
_atom_site_type_symbol
_atom_site_fract_x
_atom_site_fract_y
_atom_site_fract_z
Mg1 Mg 0.0000 0.0000 0.0000
Si1 Si 0.5000 0.5000 0.2066
Te1 Te 0.0000 0.0000 0.5000



Record 4
# Mg3SiTe | Alexandria via LeMat-Bulk | PBE | relaxed
# Fermi-level density of states: 0.349 states/eV per atom
# Formation energy from raw total energies: 599 meV/atom
# Calculated density: 2.53 g/cm3
# Crystal system: cubic
# Excess energy over the best structure of this formula in the dataset: 802 meV per atom
data_Mg3SiTe
_space_group_name_H-M_alt 'P m -3 m'
_space_group_IT_number 221
_space_group_name_Hall '-P 4 2 3'
_cell_length_a 5.3115
_cell_length_b 5.3115
_cell_length_c 5.3115
_cell_angle_alpha 90.00
_cell_angle_beta 90.00
_cell_angle_gamma 90.00
loop_
_atom_site_label
_atom_site_type_symbol
_atom_site_fract_x
_atom_site_fract_y
_atom_site_fract_z
Mg1 Mg 0.0000 0.0000 0.5000
Si1 Si 0.5000 0.5000 0.5000
Te1 Te 0.0000 0.0000 0.0000



Record 5
# MgSi2Te | Alexandria via LeMat-Bulk | PBE | relaxed
# Fermi-level density of states: 0.718 states/eV per atom
# Formation energy from raw total energies: 379 meV/atom
# Calculated density: 4.11 g/cm3
# Crystal system: orthorhombic
# Excess energy over the best structure of this formula in the dataset: 288 meV per atom
data_MgSi2Te
_space_group_name_H-M_alt 'P m m m'
_space_group_IT_number 47
_cell_length_a 3.0738
_cell_length_b 4.3010
_cell_length_c 6.3636
_cell_angle_alpha 90.00
_cell_angle_beta 90.00
_cell_angle_gamma 90.00
loop_
_space_group_symop_operation_xyz
'x,y,z'
'-x,-y,-z'
'-x,-y,z'
'x,y,-z'
'x,-y,-z'
'-x,y,z'
'-x,y,-z'
'x,-y,z'
loop_
_atom_site_label
_atom_site_type_symbol
_atom_site_fract_x
_atom_site_fract_y
_atom_site_fract_z
Mg1 Mg 0.0000 0.0000 0.0000
Si1 Si 0.5000 0.5000 0.1878
Te1 Te 0.0000 0.0000 0.5000



Record 6
# MgSiTe | Alexandria via LeMat-Bulk | PBE | relaxed
# Formation energy from raw total energies: -252 meV/atom
# Calculated density: 3.41 g/cm3
# Crystal system: triclinic
# Excess energy over the best structure of this formula in the dataset: 15 meV per atom
data_MgSiTe
_space_group_name_H-M_alt 'P 1'
_space_group_IT_number 1
_cell_length_a 4.1023
_cell_length_b 6.3276
_cell_length_c 7.6755
_cell_angle_alpha 65.97
_cell_angle_beta 84.02
_cell_angle_gamma 74.16
loop_
_space_group_symop_operation_xyz
'x,y,z'
loop_
_atom_site_label
_atom_site_type_symbol
_atom_site_fract_x
_atom_site_fract_y
_atom_site_fract_z
Mg1 Mg 0.0000 0.0000 0.0000
Mg2 Mg 0.4858 0.3146 0.3736
Si1 Si 0.2096 0.7662 0.7755
Si2 Si 0.7064 0.8568 0.5956
Te1 Te 0.3667 0.3127 0.0108
Te2 Te 0.8533 0.6412 0.3567



Record 7
# MgSi2Te | Alexandria via LeMat-Bulk | PBE | relaxed
# Fermi-level density of states: 0.643 states/eV per atom
# Formation energy from raw total energies: 505 meV/atom
# Calculated density: 4.19 g/cm3
# Crystal system: cubic
# Excess energy over the best structure of this formula in the dataset: 414 meV per atom
data_MgSi2Te
_space_group_name_H-M_alt 'F m -3 m'
_space_group_IT_number 225
_space_group_name_Hall '-F 4 2 3'
_cell_length_a 6.9081
_cell_length_b 6.9081
_cell_length_c 6.9081
_cell_angle_alpha 90.00
_cell_angle_beta 90.00
_cell_angle_gamma 90.00
loop_
_atom_site_label
_atom_site_type_symbol
_atom_site_fract_x
_atom_site_fract_y
_atom_site_fract_z
Mg1 Mg 0.0000 0.0000 0.0000
Si1 Si 0.2500 0.2500 0.2500
Te1 Te 0.0000 0.0000 0.5000



Record 8
# MgSiTe | Alexandria via LeMat-Bulk | PBE | relaxed
# Fermi-level density of states: 0.261 states/eV per atom
# Formation energy from raw total energies: 94 meV/atom
# Calculated density: 4.18 g/cm3
# Crystal system: trigonal
# Excess energy over the best structure of this formula in the dataset: 361 meV per atom
data_MgSiTe
_space_group_name_H-M_alt 'P 3 m 1'
_space_group_IT_number 156
_cell_length_a 3.8354
_cell_length_b 3.8354
_cell_length_c 5.6088
_cell_angle_alpha 90.00
_cell_angle_beta 90.00
_cell_angle_gamma 120.00
loop_
_space_group_symop_operation_xyz
'x,y,z'
'-y,x-y,z'
'-x+y,-x,z'
'-y,-x,z'
'-x+y,y,z'
'x,x-y,z'
loop_
_atom_site_label
_atom_site_type_symbol
_atom_site_fract_x
_atom_site_fract_y
_atom_site_fract_z
Mg1 Mg 0.0000 0.0000 0.0000
Si1 Si 0.3333 0.6667 0.3175
Te1 Te 0.6667 0.3333 0.6224



Record 9
# MgSiTe | Alexandria via LeMat-Bulk | PBE | relaxed
# Fermi-level density of states: 0.274 states/eV per atom
# Formation energy from raw total energies: 22 meV/atom
# Calculated density: 3.97 g/cm3
# Crystal system: orthorhombic
# Excess energy over the best structure of this formula in the dataset: 289 meV per atom
data_MgSiTe
_space_group_name_H-M_alt 'P m m 2'
_space_group_IT_number 25
_cell_length_a 3.7025
_cell_length_b 4.1134
_cell_length_c 4.9446
_cell_angle_alpha 90.00
_cell_angle_beta 90.00
_cell_angle_gamma 90.00
loop_
_space_group_symop_operation_xyz
'x,y,z'
'-x,-y,z'
'-x,y,z'
'x,-y,z'
loop_
_atom_site_label
_atom_site_type_symbol
_atom_site_fract_x
_atom_site_fract_y
_atom_site_fract_z
Mg1 Mg 0.0000 0.0000 0.0000
Si1 Si 0.5000 0.5000 0.8539
Te1 Te 0.0000 0.5000 0.4535



Record 10
# MgSi2Te | Alexandria via LeMat-Bulk | PBE | relaxed
# Fermi-level density of states: 0.382 states/eV per atom
# Formation energy from raw total energies: 326 meV/atom
# Calculated density: 4.06 g/cm3
# Crystal system: tetragonal
# Excess energy over the best structure of this formula in the dataset: 235 meV per atom
data_MgSi2Te
_space_group_name_H-M_alt 'P 4/m m m'
_space_group_IT_number 123
_space_group_name_Hall '-P 4 2'
_cell_length_a 3.8869
_cell_length_b 3.8869
_cell_length_c 5.6297
_cell_angle_alpha 90.00
_cell_angle_beta 90.00
_cell_angle_gamma 90.00
loop_
_atom_site_label
_atom_site_type_symbol
_atom_site_fract_x
_atom_site_fract_y
_atom_site_fract_z
Mg1 Mg 0.0000 0.0000 0.0000
Si1 Si 0.0000 0.5000 0.5000
Te1 Te 0.5000 0.5000 0.0000



Record 11
# MgSiTe | Alexandria via LeMat-Bulk | PBE | relaxed
# Fermi-level density of states: 0.358 states/eV per atom
# Formation energy from raw total energies: 10 meV/atom
# Calculated density: 3.86 g/cm3
# Crystal system: triclinic
# Excess energy over the best structure of this formula in the dataset: 277 meV per atom
data_MgSiTe
_space_group_name_H-M_alt 'P 1'
_space_group_IT_number 1
_cell_length_a 3.8551
_cell_length_b 4.6891
_cell_length_c 4.7032
_cell_angle_alpha 86.48
_cell_angle_beta 65.91
_cell_angle_gamma 89.91
loop_
_space_group_symop_operation_xyz
'x,y,z'
loop_
_atom_site_label
_atom_site_type_symbol
_atom_site_fract_x
_atom_site_fract_y
_atom_site_fract_z
Mg1 Mg 0.0000 0.0000 0.0000
Si1 Si 0.7180 0.2067 0.5583
Te1 Te 0.2532 0.6050 0.4866



Record 12
# MgSiTe | Alexandria via LeMat-Bulk | PBE | relaxed
# Fermi-level density of states: 0.190 states/eV per atom
# Formation energy from raw total energies: 205 meV/atom
# Calculated density: 3.93 g/cm3
# Crystal system: cubic
# Excess energy over the best structure of this formula in the dataset: 472 meV per atom
data_MgSiTe
_space_group_name_H-M_alt 'F -4 3 m'
_space_group_IT_number 216
_space_group_name_Hall 'F -4 2 3'
_cell_length_a 6.7249
_cell_length_b 6.7249
_cell_length_c 6.7249
_cell_angle_alpha 90.00
_cell_angle_beta 90.00
_cell_angle_gamma 90.00
loop_
_atom_site_label
_atom_site_type_symbol
_atom_site_fract_x
_atom_site_fract_y
_atom_site_fract_z
Mg1 Mg 0.0000 0.0000 0.0000
Si1 Si 0.2500 0.2500 0.2500
Te1 Te 0.2500 0.2500 0.7500



> What is the formation energy from raw total energies in the tenth record?

326 meV/atom



> Among the records above, which one has the highest formation energy from raw total energies?

Mg3SiTe